Record 1
A relaxed PaAs crystal, computed with PBE.

a = 4.5968 Å, b = 4.5968 Å, c = 4.5968 Å
α = 60.00°, β = 60.00°, γ = 60.00°
Closest atoms and distances in Å follow each position.
Fractional coordinates of all 2 atoms:
As 0.0000 0.0000 0.0000  4 Pa 2.81
Pa 0.2500 0.2500 0.2500  4 As 2.81

Computed properties:
* energy relative to the lowest polymorph listed for this composition: 0.992 eV/atom
* VASP energy: -7.142 eV/atom


Record 2
A relaxed PaAs crystal, computed with PBE.

a = 4.0957 Å, b = 4.0957 Å, c = 4.0957 Å
α = 60.00°, β = 60.00°, γ = 60.00°
Closest atoms and distances in Å follow each position.
Fractional coordinates of all 2 atoms:
Pa 0.5000 0.5000 0.5000  6 As 2.90
As 0.0000 0.0000 0.0000  6 Pa 2.90

Computed properties:
* energy relative to the lowest polymorph listed for this composition: 0.000 eV/atom
* VASP energy: -8.133 eV/atom


Record 3
A relaxed PaAs crystal, computed with PBE.

a = 3.7401 Å, b = 3.7401 Å, c = 3.9357 Å
α = 90.00°, β = 90.00°, γ = 120.00°
Closest atoms and distances in Å follow each position.
Fractional coordinates of all 2 atoms:
As 0.6667 0.3333 0.7500  6 Pa 2.92
Pa 0.3333 0.6667 0.2500  6 As 2.92

Computed properties:
* energy relative to the lowest polymorph listed for this composition: 0.306 eV/atom
* VASP energy: -7.827 eV/atom


Record 4
A relaxed PaAs2 crystal, computed with PBE.

a = 5.4578 Å, b = 5.4578 Å, c = 7.7231 Å
α = 113.71°, β = 113.71°, γ = 43.32°
Closest atoms and distances in Å follow each position.
Fractional coordinates of all 6 atoms:
As 0.6323 0.6323 0.0467  1 As 2.46
As 0.0594 0.0594 0.3710  1 As 2.74, 5 Pa 2.95-3.06
As 0.3677 0.3677 0.9533  1 As 2.46
As 0.9406 0.9406 0.6290  1 As 2.74, 5 Pa 2.95-3.06
Pa 0.6786 0.6786 0.7020  8 As 2.88-3.06
Pa 0.3214 0.3214 0.2980  8 As 2.88-3.06

Computed properties:
* energy relative to the lowest polymorph listed for this composition: 0.000 eV/atom
* VASP energy: -6.898 eV/atom


Record 5
A relaxed PaAs crystal, computed with PBE.

a = 6.0261 Å, b = 5.3698 Å, c = 5.6380 Å
α = 90.00°, β = 90.00°, γ = 90.00°
Closest atoms and distances in Å follow each position.
Fractional coordinates of all 8 atoms:
As 0.2500 0.5000 0.9836  4 Pa 2.92-3.12, 4 As 3.02-3.19
As 0.7500 0.5000 0.0164  4 Pa 2.92-3.12, 4 As 3.02-3.19
As 0.7500 0.0000 0.7116  4 Pa 2.77-3.04
As 0.2500 0.0000 0.2884  4 Pa 2.77-3.04
Pa 0.5000 0.5000 0.5000  2 Pa 3.01, 8 As 3.12-3.30
Pa 0.2500 0.0000 0.7798  6 As 2.77-3.04
Pa 0.0000 0.5000 0.5000  2 Pa 3.01, 8 As 3.12-3.30
Pa 0.7500 0.0000 0.2202  6 As 2.77-3.04

Computed properties:
* energy relative to the lowest polymorph listed for this composition: 0.552 eV/atom
* VASP energy: -7.582 eV/atom


Record 6
A relaxed PaAs crystal, computed with PBE.

a = 4.5920 Å, b = 4.5920 Å, c = 7.5154 Å
α = 90.00°, β = 90.00°, γ = 120.00°
Closest atoms and distances in Å follow each position.
Fractional coordinates of all 4 atoms:
As 0.3333 0.6667 0.4999  4 Pa 2.81-2.82
As 0.0000 0.0000 0.0000  4 Pa 2.81-2.82
Pa 0.0000 0.0000 0.3751  4 As 2.81-2.82
Pa 0.3333 0.6667 0.8751  4 As 2.81-2.82

Computed properties:
* energy relative to the lowest polymorph listed for this composition: 0.992 eV/atom
* VASP energy: -7.142 eV/atom


Record 7
A relaxed PaAs2 crystal, computed with PBE.

a = 8.7896 Å, b = 8.7896 Å, c = 8.7896 Å
α = 60.00°, β = 60.00°, γ = 60.00°
Closest atoms and distances in Å follow each position.
Fractional coordinates of all 6 atoms:
As 0.3750 0.8750 0.3750  2 Pa 2.69
As 0.8750 0.3750 0.3750  2 Pa 2.69
As 0.3750 0.3750 0.3750  2 Pa 2.69
As 0.3750 0.3750 0.8750  2 Pa 2.69
Pa 0.2500 0.2500 0.2500  4 As 2.69
Pa 0.5000 0.5000 0.5000  4 As 2.69

Computed properties:
* energy relative to the lowest polymorph listed for this composition: 1.149 eV/atom
* VASP energy: -5.749 eV/atom


Record 8
A relaxed Pm3PaAs4 crystal, computed with PBE.

a = 7.2598 Å, b = 7.2598 Å, c = 4.1976 Å
α = 90.00°, β = 90.00°, γ = 109.42°
Closest atoms and distances in Å follow each position.
Fractional coordinates of all 8 atoms:
Pm 0.0000 0.5000 0.5000  6 As 2.96-2.97
Pm 0.5000 0.5000 0.0000  6 As 3.02-3.04
Pm 0.5000 0.0000 0.5000  6 As 2.96-2.97
As 0.7590 0.7590 0.5000  2 Pa 2.91, 4 Pm 2.96-3.02
As 0.7562 0.2438 0.0000  1 Pa 2.89, 5 Pm 2.97-3.04
As 0.2410 0.2410 0.5000  2 Pa 2.91, 4 Pm 2.96-3.02
As 0.2438 0.7562 0.0000  1 Pa 2.89, 5 Pm 2.97-3.04
Pa 0.0000 0.0000 0.0000  6 As 2.89-2.91

Computed properties:
* VASP energy: -6.711 eV/atom


Record 9
A relaxed Pr3PaAs4 crystal, computed with PBE.

a = 7.3501 Å, b = 7.3501 Å, c = 4.2453 Å
α = 90.00°, β = 90.00°, γ = 109.38°
Closest atoms and distances in Å follow each position.
Fractional coordinates of all 8 atoms:
As 0.7630 0.7630 0.0000  2 Pa 2.93, 4 Pr 3.00-3.08
As 0.7583 0.2417 0.5000  1 Pa 2.90, 5 Pr 3.00-3.10
As 0.2370 0.2370 0.0000  2 Pa 2.93, 4 Pr 3.00-3.08
As 0.2417 0.7583 0.5000  1 Pa 2.90, 5 Pr 3.00-3.10
Pr 0.5000 0.0000 0.0000  6 As 3.00
Pr 0.0000 0.5000 0.0000  6 As 3.00
Pr 0.5000 0.5000 0.5000  6 As 3.08-3.10
Pa 0.0000 0.0000 0.5000  6 As 2.90-2.93

Computed properties:
* VASP energy: -6.699 eV/atom


Record 10
A relaxed PuPaAs crystal, computed with PBE.

a = 4.8452 Å, b = 4.8452 Å, c = 4.8452 Å
α = 60.00°, β = 60.00°, γ = 60.00°
Closest atoms and distances in Å follow each position.
Fractional coordinates of all 3 atoms:
Pa 0.2500 0.2500 0.2500  4 As 2.97
As 0.0000 0.0000 0.0000  4 Pa 2.97, 4 Pu 2.97
Pu 0.7500 0.7500 0.7500  4 As 2.97

Computed properties:
* energy relative to the lowest polymorph listed for this composition: 0.000 eV/atom
* VASP energy: -9.709 eV/atom